(1)
A relaxed AlRe2IrAu crystal. Source: Alexandria via LeMat-Bulk, functional PBE-GGA.

Cell lengths 4.484, 4.484, 4.448 Å; angles 90.00, 90.00, 90.00 degrees
Positions (direct):
Al: 0.000 0.000 0.000
Re: 0.000 0.500 0.000
Re: 0.500 0.000 0.000
Ir: 0.500 0.500 0.500
Au: 0.000 0.000 0.500

Computed properties:
Formation enthalpy at 0 K, meV per atom: 1836

=====

(2)
A relaxed Ti2Ir9Ru crystal. Source: Alexandria via LeMat-Bulk, functional PBE-GGA.

Cell lengths 4.761, 6.123, 6.132 Å; angles 84.39, 82.48, 82.45 degrees
Positions (direct):
Ti: 0.249 0.094 0.408
Ti: 0.751 0.906 0.592
Ir: 0.007 0.167 0.833
Ir: 0.250 0.419 0.082
Ir: 0.250 0.760 0.740
Ir: 0.492 0.665 0.335
Ir: 0.500 0.000 0.000
Ir: 0.508 0.335 0.665
Ir: 0.750 0.240 0.260
Ir: 0.750 0.581 0.918
Ir: 0.993 0.833 0.167
Ru: 0.000 0.500 0.500

Computed properties:
Formation enthalpy at 0 K, meV per atom: -345

=====

(3)
A relaxed CuNi2H4 crystal. Source: Alexandria via LeMat-Bulk, functional PBE-GGA.

Cell lengths 5.150, 5.150, 5.104 Å; angles 119.45, 119.45, 91.17 degrees
Positions (direct):
Cu: 0.123 0.877 0.750
Cu: 0.877 0.123 0.250
Ni: 0.000 0.500 0.000
Ni: 0.500 0.000 0.500
Ni: 0.500 0.500 0.000
Ni: 0.500 0.500 0.500
H: 0.261 0.295 0.028
H: 0.266 0.732 0.472
H: 0.268 0.734 0.028
H: 0.295 0.261 0.528
H: 0.705 0.739 0.472
H: 0.732 0.266 0.972
H: 0.734 0.268 0.528
H: 0.739 0.705 0.972

Computed properties:
Excess energy over the best structure of this formula in the dataset, kcal/mol of atoms: 0.00

=====

| no. | total DFT energy (no corrections) (eV for the cell shown) |
| --- | --- |
| 1 | -31.6 |
| 2 | -109.0 |
| 3 | -57.8 |